TlVInF6 | Alexandria via LeMat-Bulk | GGA+U | optimized geometry; total DFT energy (no corrections) = -4.9773 eV/atom
1.0
6.5349 0.0000 0.0000
-3.2675 5.6594 0.0000
0.0000 0.0000 9.3577
F In V Tl
12 2 2 2
Direct
0.0935 0.6697 0.3617 F
0.6697 0.5762 0.6383 F
0.9065 0.3303 0.6383 F
0.6697 0.0935 0.8617 F
0.0935 0.4238 0.1383 F
0.4238 0.3303 0.8617 F
0.4238 0.0935 0.6383 F
0.5762 0.6697 0.1383 F
0.3303 0.4238 0.3617 F
0.9065 0.5762 0.8617 F
0.3303 0.9065 0.1383 F
0.5762 0.9065 0.3617 F
0.6667 0.3333 0.2500 In
0.3333 0.6667 0.7500 In
0.6667 0.3333 0.7500 V
0.3333 0.6667 0.2500 V
0.0000 0.0000 0.0000 Tl
0.0000 0.0000 0.5000 Tl